Below is crystalline LaNd2CdHg4 at its relaxed geometry, with properties calculated at the PBE-GGA level.

The structure in CIF format:
```
data_LaNd2CdHg4
_chemical_formula_sum 'La1 Nd2 Cd1 Hg4'
_space_group_name_H-M_alt 'P 1'
_space_group_IT_number 1
_cell_length_a 9.731
_cell_length_b 9.731
_cell_length_c 9.731
_cell_angle_alpha 31.28
_cell_angle_beta 31.28
_cell_angle_gamma 31.28
loop_
_space_group_symop_operation_xyz
'x,y,z'
loop_
_atom_site_label
_atom_site_fract_x
_atom_site_fract_y
_atom_site_fract_z
La1 0.000 0.000 0.000
Nd1 0.239 0.239 0.239
Nd2 0.761 0.761 0.761
Cd1 0.500 0.500 0.500
Hg1 0.124 0.124 0.124
Hg2 0.375 0.375 0.375
Hg3 0.625 0.625 0.625
Hg4 0.876 0.876 0.876
```

Values from the calculation:
space-group type: R-3m, No. 166
spin magnetization: 0.00 Bohr magnetons per cell
uncorrected energy: -2.50 eV per atom

Below is crystalline LiUTcN3 at its relaxed geometry, with properties calculated at the PBE-GGA level.

The structure in CIF format:
```
data_LiUTcN3
_chemical_formula_sum 'Li2 U2 Tc2 N6'
_space_group_name_H-M_alt 'P 1'
_space_group_IT_number 1
_cell_length_a 6.257
_cell_length_b 3.357
_cell_length_c 8.502
_cell_angle_alpha 90.00
_cell_angle_beta 97.27
_cell_angle_gamma 90.00
loop_
_space_group_symop_operation_xyz
'x,y,z'
loop_
_atom_site_label
_atom_site_fract_x
_atom_site_fract_y
_atom_site_fract_z
Li1 0.140 0.250 0.106
Li2 0.860 0.750 0.894
U1 0.349 0.750 0.840
U2 0.651 0.250 0.160
Tc1 0.009 0.250 0.616
Tc2 0.991 0.750 0.384
N1 0.117 0.250 0.856
N2 0.191 0.750 0.589
N3 0.420 0.750 0.107
N4 0.580 0.250 0.893
N5 0.809 0.250 0.411
N6 0.883 0.750 0.144
```

Values from the calculation:
space-group type: P2_1/m, No. 11
formation energy from raw total energies: -0.651 eV per atom
spin magnetization: 0.00 Bohr magnetons per cell
uncorrected energy: -8.74 eV per atom

Below is crystalline NaTiAlMo2 at its relaxed geometry, with properties calculated at the PBE-GGA level.

The structure in CIF format:
```
data_NaTiAlMo2
_chemical_formula_sum 'Na1 Ti1 Al1 Mo2'
_space_group_name_H-M_alt 'P 1'
_space_group_IT_number 1
_cell_length_a 4.672
_cell_length_b 4.672
_cell_length_c 4.850
_cell_angle_alpha 90.00
_cell_angle_beta 90.00
_cell_angle_gamma 90.00
loop_
_space_group_symop_operation_xyz
'x,y,z'
loop_
_atom_site_label
_atom_site_fract_x
_atom_site_fract_y
_atom_site_fract_z
Na1 0.000 0.000 0.000
Ti1 0.500 0.500 0.000
Al1 0.500 0.500 0.500
Mo1 0.000 0.500 0.500
Mo2 0.500 0.000 0.500
```

Values from the calculation:
space-group type: P4/mmm, No. 123
spin magnetization: 0.00 Bohr magnetons per cell
uncorrected energy: -5.52 eV per atom